Record 1
VASP calculation (PBE) on a relaxed BaNi3 crystal.

Geometry as CIF:
```
data_BaNi3
_cell_length_a 3.6760
_cell_length_b 3.6760
_cell_length_c 6.9124
_cell_angle_alpha 90.00
_cell_angle_beta 90.00
_cell_angle_gamma 120.00
_symmetry_space_group_name_H-M 'P -6 m 2'
_symmetry_Int_Tables_number 187
_symmetry_space_group_name_Hall 'P -6 2'
loop_
_atom_site_label
_atom_site_fract_x
_atom_site_fract_y
_atom_site_fract_z
Ba1 0.0000 0.0000 0.0000
Ni1 0.0000 0.0000 0.5000
Ni2 0.6667 0.3333 0.3345
```

**Formation enthalpy at 0 K**: 2.5 eV/f.u.

***

Record 2
VASP calculation (PBE) on a relaxed Zr2SiGe crystal.

Geometry as CIF:
```
data_Zr2SiGe
_cell_length_a 3.8646
_cell_length_b 3.8646
_cell_length_c 18.6961
_cell_angle_alpha 90.00
_cell_angle_beta 90.00
_cell_angle_gamma 120.00
_symmetry_space_group_name_H-M 'R -3 m'
_symmetry_Int_Tables_number 166
_symmetry_space_group_name_Hall '-R 3 2"'
loop_
_atom_site_label
_atom_site_fract_x
_atom_site_fract_y
_atom_site_fract_z
Zr1 0.0000 0.0000 0.2485
Si1 0.0000 0.0000 0.5000
Ge1 0.0000 0.0000 0.0000
```

**Final energy**: -7.5054 eV per atom

***

Record 3
VASP calculation (PBE) on a relaxed BaTl3Cd crystal.

Geometry as CIF:
```
data_BaTl3Cd
_cell_length_a 7.299
_cell_length_b 7.271
_cell_length_c 7.244
_cell_angle_alpha 90.00
_cell_angle_beta 119.89
_cell_angle_gamma 90.00
_symmetry_space_group_name_H-M 'C 1 m 1'
_symmetry_Int_Tables_number 8
_symmetry_space_group_name_Hall 'C -2y'
loop_
_atom_site_label
_atom_site_fract_x
_atom_site_fract_y
_atom_site_fract_z
Ba1 0.000 0.000 0.000
Tl1 0.005 0.249 0.509
Tl2 0.110 0.500 0.221
Cd1 0.382 0.000 0.763
```

**Formation enthalpy at 0 K**: -1.3 eV/f.u.

***

Record 4
VASP calculation (PBE) on a relaxed KAl2Te2 crystal.

Geometry as CIF:
```
data_KAl2Te2
_cell_length_a 5.354
_cell_length_b 5.354
_cell_length_c 12.416
_cell_angle_alpha 90.00
_cell_angle_beta 90.00
_cell_angle_gamma 90.00
_symmetry_space_group_name_H-M 'I 4/m m m'
_symmetry_Int_Tables_number 139
_symmetry_space_group_name_Hall '-I 4 2'
loop_
_atom_site_label
_atom_site_fract_x
_atom_site_fract_y
_atom_site_fract_z
K1 0.000 0.000 0.000
Al1 0.000 0.500 0.250
Te1 0.000 0.000 0.334
```

**Offset from the most stable computed form**: 178 meV/atom

***

Record 5
VASP calculation (PBE) on a relaxed La5Dy crystal.

Geometry as CIF:
```
data_La5Dy
_cell_length_a 5.228
_cell_length_b 15.694
_cell_length_c 5.235
_cell_angle_alpha 90.00
_cell_angle_beta 90.00
_cell_angle_gamma 90.00
_symmetry_space_group_name_H-M 'C m m m'
_symmetry_Int_Tables_number 65
_symmetry_space_group_name_Hall '-C 2 2'
loop_
_atom_site_label
_atom_site_fract_x
_atom_site_fract_y
_atom_site_fract_z
La1 0.000 0.000 0.000
La2 0.000 0.165 0.500
La3 0.000 0.333 0.000
Dy1 0.000 0.500 0.500
```

**Offset from the most stable computed form**: 3 meV/atom
**Formation enthalpy at 0 K**: 0.1 eV/f.u.

***

Record 6
VASP calculation (PBE) on a relaxed Ce5Sn2Ge2 crystal.

Geometry as CIF:
```
data_Ce5Sn2Ge2
_cell_length_a 15.518
_cell_length_b 8.014
_cell_length_c 8.038
_cell_angle_alpha 90.00
_cell_angle_beta 90.00
_cell_angle_gamma 90.00
_symmetry_space_group_name_H-M 'C m c e'
_symmetry_Int_Tables_number 64
_symmetry_space_group_name_Hall '-C 2ac 2'
loop_
_atom_site_label
_atom_site_fract_x
_atom_site_fract_y
_atom_site_fract_z
Ce1 0.000 0.000 0.000
Ce2 0.130 0.185 0.317
Sn1 0.216 0.000 0.000
Ge1 0.000 0.116 0.618
```

**Formation enthalpy at 0 K**: -5.7 eV/f.u.

***

Record 7
VASP calculation (PBE) on a relaxed AlIn2Pt crystal.

Geometry as CIF:
```
data_AlIn2Pt
_cell_length_a 4.288
_cell_length_b 4.288
_cell_length_c 8.476
_cell_angle_alpha 90.00
_cell_angle_beta 90.00
_cell_angle_gamma 90.00
_symmetry_space_group_name_H-M 'I -4 m 2'
_symmetry_Int_Tables_number 119
_symmetry_space_group_name_Hall 'I -4 -2'
loop_
_atom_site_label
_atom_site_fract_x
_atom_site_fract_y
_atom_site_fract_z
Al1 0.000 0.000 0.000
In1 0.000 0.000 0.500
In2 0.000 0.500 0.750
Pt1 0.000 0.500 0.250
```

**Formation enthalpy at 0 K**: -0.3 eV/f.u.

***

Record 8
VASP calculation (PBE) on a relaxed La3Pr6DyHo2 crystal.

Geometry as CIF:
```
data_La3Pr6DyHo2
_cell_length_a 6.378
_cell_length_b 11.062
_cell_length_c 12.145
_cell_angle_alpha 90.00
_cell_angle_beta 100.14
_cell_angle_gamma 90.00
_symmetry_space_group_name_H-M 'C 1 2/m 1'
_symmetry_Int_Tables_number 12
_symmetry_space_group_name_Hall '-C 2y'
loop_
_atom_site_label
_atom_site_fract_x
_atom_site_fract_y
_atom_site_fract_z
La1 0.000 0.000 0.000
La2 0.000 0.333 0.000
Pr1 0.248 0.000 0.743
Pr2 0.248 0.333 0.743
Dy1 0.000 0.500 0.500
Ho1 0.000 0.167 0.500
```

**Formation enthalpy at 0 K**: 0.2 eV/f.u.

***

So what do the calculations give for total magnetic moment? Going down the list: 1.120; 0.000; 0.000; 0.000; 0.000; 4.496; 0.000; 0.000 μB per formula unit.